DFT (PBE) results for a geometry-optimized Zr2ZnW structure.

Geometry as extended XYZ:
```
4
Lattice="-0.730 2.842 -0.138 -4.475 -1.284 -2.801 -5.170 -1.213 2.372" Properties=species:S:1:pos:R:3 pbc="T T T"
Zr -2.602 0.779 -1.469
Zn -2.585 -0.606 1.186
W -5.188 0.173 -0.283
Zr 0.000 0.000 0.000
```

Values from the calculation:
Total DFT energy (no corrections): -30.4 eV/f.u.
Spin magnetization: 0.00 μB/cell
Calculated volume: 76 Å³/cell
Symmetry: P2/m (10)
ΔH_f (0 K): 5.59 kcal/mol of atoms
ρ: 9.41 Mg/m³

---

DFT (PBE) results for a geometry-optimized Pr3Pt2Au3 structure.

Geometry as extended XYZ:
```
16
Lattice="4.130 0.000 0.000 -2.065 5.324 0.000 0.000 0.000 17.393" Properties=species:S:1:pos:R:3 pbc="T T T"
Au 0.000 3.918 16.883
Au 2.065 1.406 0.509
Pr 2.065 1.784 4.348
Pr 2.065 4.593 1.797
Pt 0.000 2.372 6.550
Pr 2.065 4.593 6.899
Au 2.065 1.406 8.187
Pt 2.065 2.952 10.843
Au 0.000 4.149 4.348
Pr 0.000 0.731 15.595
Pt 0.000 2.372 2.146
Pr 0.000 0.731 10.494
Pt 2.065 2.952 15.246
Au 2.065 1.175 13.045
Au 0.000 3.918 9.206
Pr 0.000 3.540 13.045
```

Values from the calculation:
Energy relative to the lowest polymorph listed for this composition: 0.000 eV/atom
Total DFT energy (no corrections): -43.4 eV/f.u.
Spin magnetization: 0.00 μB/cell
Calculated volume: 382 Å³/cell
Symmetry: Cmcm (63)
ΔH_f (0 K): -20.52 kcal/mol of atoms
ρ: 12.19 Mg/m³

---

DFT (PBE) results for a geometry-optimized Mg3Bi3Pb structure.

Geometry as extended XYZ:
```
14
Lattice="-5.424 -0.124 5.964 5.681 -2.566 5.113 1.820 7.642 1.813" Properties=species:S:1:pos:R:3 pbc="T T T"
Mg -3.158 3.729 5.380
Bi 1.485 -1.314 4.048
Mg 3.296 0.628 3.010
Bi -2.257 1.849 3.435
Mg 4.205 4.449 3.917
Pb 0.000 0.000 0.000
Bi 2.330 3.180 2.185
Bi -1.347 5.670 4.342
Bi -1.227 -1.376 7.030
Mg -0.446 3.790 2.398
Bi 5.171 1.897 4.742
Mg 1.549 -1.986 6.817
Pb 1.038 2.476 6.445
Mg -1.292 -0.703 4.260
```

Values from the calculation:
Energy relative to the lowest polymorph listed for this composition: 0.348 eV/atom
Total DFT energy (no corrections): -18.2 eV/f.u.
Spin magnetization: 0.00 μB/cell
Calculated volume: 524 Å³/cell
Symmetry: Pm-3n (223)
ΔH_f (0 K): 6.30 kcal/mol of atoms
ρ: 5.75 Mg/m³

---

DFT (PBE) results for a geometry-optimized CaPbSe2 structure.

Geometry as extended XYZ:
```
4
Lattice="-0.780 7.424 0.863 -2.572 6.430 -2.918 -4.750 5.776 0.732" Properties=species:S:1:pos:R:3 pbc="T T T"
Se -4.013 9.722 -0.655
Ca -6.077 14.722 -0.992
Se -0.038 0.092 -0.006
Pb -2.026 4.907 -0.331
```

Values from the calculation:
ΔE_f (raw): -1.276 eV per atom
Total DFT energy (no corrections): -17.8 eV/f.u.
Spin magnetization: 0.00 μB/cell
Calculated volume: 114 Å³/cell
Symmetry: R-3m (166)
ρ: 5.92 Mg/m³

---

DFT (PBE) results for a geometry-optimized Sc5S4N structure.

Geometry as extended XYZ:
```
10
Lattice="-3.477 3.277 -1.835 -4.215 1.886 4.218 1.638 6.015 0.500" Properties=species:S:1:pos:R:3 pbc="T T T"
Sc -3.345 6.322 3.339
Sc -2.716 4.862 -0.459
S -0.921 3.434 0.727
Sc -2.769 2.551 2.652
S -5.140 7.750 2.153
S -1.801 6.833 1.325
S -4.261 4.351 1.555
N -0.003 0.003 -0.002
Sc -1.743 1.642 -0.919
Sc -3.292 8.633 0.228
```

Values from the calculation:
Energy relative to the lowest polymorph listed for this composition: 0.000 eV/atom
ΔE_f (raw): -1.825 eV per atom
Total DFT energy (no corrections): -74.7 eV/f.u.
Spin magnetization: 0.00 μB/cell
Calculated volume: 167 Å³/cell
Symmetry: I4/m (87)
ρ: 3.66 Mg/m³

---

DFT (PBE) results for a geometry-optimized Ac4Pm3Se8 structure.

Geometry as extended XYZ:
```
15
Lattice="7.668 -0.175 -4.211 -4.950 7.131 -0.223 -0.221 0.113 8.680" Properties=species:S:1:pos:R:3 pbc="T T T"
Pm 3.724 -0.031 2.235
Pm 1.249 3.535 2.123
Pm 1.359 3.478 -2.217
Ac 3.834 -0.087 -2.105
Se -3.741 5.338 2.052
Ac -2.475 3.566 -0.112
Ac 0.000 0.000 0.000
Se -1.255 1.891 2.157
Se -0.073 5.265 4.189
Se 2.571 1.805 0.057
Se -1.429 1.906 6.405
Se 0.094 5.249 -0.052
Se 3.753 5.179 2.089
Se 2.404 1.821 4.298
Ac -0.110 0.057 4.340
```

Values from the calculation:
ΔE_f (raw): -1.858 eV per atom
Total DFT energy (no corrections): -86.4 eV/f.u.
Spin magnetization: 0.00 μB/cell
Calculated volume: 463 Å³/cell
Symmetry: C2/m (12)
ρ: 7.08 Mg/m³

---

DFT (PBE) results for a geometry-optimized Tb2Nd3Ir2 structure.

Geometry as extended XYZ:
```
7
Lattice="-1.026 3.647 1.118 -4.777 -4.007 1.703 6.102 -2.196 5.786" Properties=species:S:1:pos:R:3 pbc="T T T"
Ir 3.053 1.252 5.694
Ir -2.755 -3.808 2.913
Nd 0.840 1.240 3.711
Tb -1.761 -1.229 2.392
Tb 2.060 -1.326 6.215
Nd -0.542 -3.795 4.896
Nd -0.513 1.824 0.559
```

Values from the calculation:
Total DFT energy (no corrections): -44.9 eV/f.u.
Spin magnetization: 0.00 μB/cell
Calculated volume: 198 Å³/cell
Symmetry: C2/m (12)
ΔH_f (0 K): -12.04 kcal/mol of atoms
ρ: 9.53 Mg/m³

---

DFT (PBE) results for a geometry-optimized AlZn2Cu structure.

Geometry as extended XYZ:
```
8
Lattice="-0.604 -4.079 -1.800 4.567 -0.377 -0.679 0.456 -2.256 4.958" Properties=species:S:1:pos:R:3 pbc="T T T"
Zn 1.816 -5.181 2.695
Al 3.923 -4.794 1.111
Zn 0.632 -3.022 3.824
Cu 2.856 -2.636 2.203
Zn 3.787 -3.690 -1.345
Al 0.496 -1.918 1.368
Cu 1.562 -4.076 0.276
Zn 2.603 -1.531 -0.216
```

Values from the calculation:
Total DFT energy (no corrections): -10.6 eV/f.u.
Spin magnetization: 0.00 μB/cell
Calculated volume: 114 Å³/cell
Symmetry: P2_1/m (11)
ΔH_f (0 K): -1.28 kcal/mol of atoms
ρ: 6.45 Mg/m³